[1]
This record from Alexandria via LeMat-Bulk describes a relaxed Pm6NiIr2I3 crystal. The functional is PBE.

Summary:
Its formation energy (no corrections) is -0.879 eV/atom. The calculation puts the final energy at -5.600 eV/atom.

a b c (Å): 7.2112 7.2112 8.4203
angles (deg): 98.21 98.21 119.99
Sites, in units of the cell vectors:
Pm  0.9389  0.6067  0.8165
Pm  0.7292  0.7292  0.1837
Pm  0.0611  0.3933  0.1835
Pm  0.6067  0.9389  0.8165
Pm  0.2708  0.2708  0.8163
Pm  0.3933  0.0611  0.1835
Ni  0.0000  0.0000  0.0000
Ir  0.3334  0.6666  0.0000
Ir  0.6666  0.3334  0.0000
I  0.1669  0.8331  0.5000
I  0.8331  0.1669  0.5000
I  0.5000  0.5000  0.5000

---

[2]
This record from Alexandria via LeMat-Bulk describes a relaxed NiIrPt2I crystal. The functional is PBE.

Summary:
Its formation energy (no corrections) is 1.683 eV/atom. The calculation puts the final energy at -3.972 eV/atom.

a b c (Å): 4.9088 4.4738 4.9088
angles (deg): 90.00 90.00 90.00
Sites, in units of the cell vectors:
I  0.0000  0.0000  0.0000
Ni  0.0000  0.5000  0.0000
Ir  0.5000  0.5000  0.5000
Pt  0.0000  0.0000  0.5000
Pt  0.5000  0.0000  0.0000

---

[3]
This record from Alexandria via LeMat-Bulk describes a relaxed ReNiIrI2 crystal. The functional is PBE.

Summary:
Its formation energy (no corrections) is 1.859 eV/atom. The calculation puts the final energy at -4.180 eV/atom.

a b c (Å): 4.9766 4.7322 4.9766
angles (deg): 90.00 90.00 90.00
Sites, in units of the cell vectors:
I  0.0000  0.0000  0.5000
I  0.5000  0.0000  0.0000
Re  0.5000  0.5000  0.5000
Ir  0.0000  0.5000  0.0000
Ni  0.0000  0.0000  0.0000